Entry 1:
A plane-wave DFT calculation with PBE was carried out for an optimized crystal structure of Na2SmTl9.

abc: 4.8272 4.8272 14.6968
angles: 90.00 90.00 90.00
Last column: nearest neighbours and their distance in Å.
Positions (direct):
Na1 0.0000 0.0000 0.3274  12 Tl 3.39-3.50
Na2 0.0000 0.0000 0.6726  12 Tl 3.39-3.50
Sm1 0.0000 0.0000 0.0000  12 Tl 3.41-3.43
Tl1 0.5000 0.5000 0.0000  4 Sm 3.41, 8 Tl 3.43
Tl2 0.5000 0.5000 0.3294  8 Tl 3.41-3.48, 4 Na 3.41
Tl3 0.5000 0.5000 0.6706  8 Tl 3.41-3.48, 4 Na 3.41
Tl4 0.5000 0.0000 0.1654  2 Na 3.39, 8 Tl 3.41-3.43, 2 Sm 3.43
Tl5 0.5000 0.0000 0.5000  8 Tl 3.41-3.48, 4 Na 3.50
Tl6 0.5000 0.0000 0.8346  2 Na 3.39, 8 Tl 3.41-3.43, 2 Sm 3.43
Tl7 0.0000 0.5000 0.1654  2 Na 3.39, 8 Tl 3.41-3.43, 2 Sm 3.43
Tl8 0.0000 0.5000 0.5000  8 Tl 3.41-3.48, 4 Na 3.50
Tl9 0.0000 0.5000 0.8346  2 Na 3.39, 8 Tl 3.41-3.43, 2 Sm 3.43

Output
E_tot = -2.51 eV per atom
Density = 9.87 Mg/m³
ΔH_f (0 K) = -0.120 eV/atom
Space group = No. 123
Magnetic moment = 0.0 μB/f.u.


Entry 2:
A plane-wave DFT calculation with PBE was carried out for an optimized crystal structure of TlInPt2.

abc: 4.5781 4.7440 5.8979
angles: 36.35 90.00 90.00
Last column: nearest neighbours and their distance in Å.
Positions (direct):
In1 0.0000 0.0000 0.5000  8 Pt 2.88-2.95
Pt1 0.0000 0.0000 0.0000  4 Tl 2.88, 4 In 2.94-2.95
Pt2 0.5000 0.5000 0.0000  4 In 2.88, 4 Tl 2.94-2.95
Tl1 0.5000 0.5000 0.5000  8 Pt 2.88-2.95

Output
E_tot = -4.40 eV per atom
Density = 15.51 Mg/m³
ΔH_f (0 K) = -0.108 eV/atom
Space group = No. 10
Magnetic moment = 0.0 μB/f.u.


Entry 3:
A plane-wave DFT calculation with PBE was carried out for an optimized crystal structure of Ac4Pm5Er.

abc: 5.8717 12.7458 8.8700
angles: 136.62 109.33 90.00
Last column: nearest neighbours and their distance in Å.
Positions (direct):
Ac1 0.3838 0.6345 0.7676  1 Er 3.39, 3 Pm 3.44-3.54
Ac2 0.1262 0.8791 0.2524  4 Pm 3.78-3.98, 4 Ac 3.91-3.95
Ac3 0.6162 0.3655 0.2324  1 Er 3.39, 3 Pm 3.44-3.54
Ac4 0.8738 0.1209 0.7476  4 Pm 3.78-3.98, 4 Ac 3.91-3.95
Pm1 0.8415 0.3890 0.6829  5 Pm 3.45-3.61, 2 Ac 3.54-3.85, 1 Er 3.69
Pm2 0.8457 0.7971 0.6914  2 Er 3.42, 4 Pm 3.50-3.75, 2 Ac 3.53-3.78
Pm3 0.1543 0.2029 0.3086  2 Er 3.42, 4 Pm 3.50-3.75, 2 Ac 3.53-3.78
Pm4 0.5000 0.5000 0.0000  2 Ac 3.44, 6 Pm 3.45-3.75
Pm5 0.1585 0.6110 0.3171  5 Pm 3.45-3.61, 2 Ac 3.54-3.85, 1 Er 3.69
Er1 0.5000 0.0000 0.0000  2 Ac 3.39, 6 Pm 3.42-3.69

Output
E_tot = -4.26 eV per atom
Density = 7.48 Mg/m³
ΔH_f (0 K) = 0.219 eV/atom
Space group = No. 12
Magnetic moment = 0.0 μB/f.u.


Entry 4:
A plane-wave DFT calculation with PBE was carried out for an optimized crystal structure of BaScAgTe3.

abc: 4.4307 8.8798 10.1569
angles: 106.45 90.00 90.00
Last column: nearest neighbours and their distance in Å.
Positions (direct):
Ba1 0.2500 0.2118 0.2602  7 Te 3.50-3.77, 1 Ag 3.85
Ba2 0.7500 0.7882 0.7398  7 Te 3.50-3.77, 1 Ag 3.85
Sc1 0.2500 0.6808 0.1583  6 Te 2.94-2.99
Sc2 0.7500 0.3192 0.8417  6 Te 2.94-2.99
Ag1 0.2500 0.0801 0.5906  4 Te 2.82-2.97, 2 Ag 2.97
Ag2 0.7500 0.9199 0.4094  4 Te 2.82-2.97, 2 Ag 2.97
Te1 0.7500 0.8944 0.1261  1 Ag 2.82, 2 Sc 2.99
Te2 0.2500 0.1056 0.8739  1 Ag 2.82, 2 Sc 2.99
Te3 0.2500 0.7360 0.4578  3 Ag 2.88-2.97, 1 Sc 2.94
Te4 0.7500 0.2640 0.5422  3 Ag 2.88-2.97, 1 Sc 2.94
Te5 0.7500 0.4511 0.1445  3 Sc 2.97-2.99
Te6 0.2500 0.5489 0.8555  3 Sc 2.97-2.99

Output
Uncorrected formation energy = -112 kJ per mole of atoms
E_tot = -4.58 eV per atom
Density = 5.83 Mg/m³
Space group = No. 11
Magnetic moment = 0.0 μB/f.u.